[1]
Compound: Ta2CoNi2
Source: Alexandria via LeMat-Bulk
Functional: PBE-GGA
Structure: relaxed

Cell lengths 4.5778, 3.5739, 6.1176 Å; angles 90.00, 127.93, 112.98 degrees
Closest atoms and distances in Å follow each position.
Sites, in units of the cell vectors:
Ta: 0.8443 0.4222 0.2036  2 Co 2.50, 5 Ni 2.57-2.71
Ta: 0.1557 0.5778 0.7964  2 Co 2.50, 5 Ni 2.57-2.71
Co: 0.0000 0.0000 0.0000  4 Ta 2.50, 4 Ni 2.72
Ni: 0.3921 0.1962 0.5961  6 Ta 2.57-2.83, 3 Ni 2.61-2.67, 3 Co 2.72-2.83
Ni: 0.6079 0.8038 0.4039  6 Ta 2.57-2.83, 3 Ni 2.61-2.67, 3 Co 2.72-2.83

## Properties
The distance to the lowest polymorph of the same formula comes out at 0.000 eV/f.u. As for the density of states at the Fermi level: 4.53 states/eV/f.u. Its symmetry is No. 12. As for the formation enthalpy at 0 K: -0.1609 eV/atom. As for the calculated density: 13.03 g cm⁻³.

***

[2]
Compound: CaPaGaPd
Source: Alexandria via LeMat-Bulk
Functional: PBE-GGA
Structure: relaxed

Cell lengths 5.0307, 5.0307, 5.0307 Å; angles 60.00, 60.00, 60.00 degrees
Closest atoms and distances in Å follow each position.
Sites, in units of the cell vectors:
Ca: 0.0000 0.0000 0.0000  4 Ga 3.08, 4 Pd 3.08
Pa: 0.5000 0.5000 0.5000  4 Pd 3.08, 4 Ga 3.08
Ga: 0.2500 0.2500 0.2500  4 Pa 3.08, 4 Ca 3.08
Pd: 0.7500 0.7500 0.7500  4 Ca 3.08, 4 Pa 3.08

## Properties
As for the density of states at the Fermi level: 3.95 states/eV/f.u. Its symmetry is No. 216. As for the formation enthalpy at 0 K: -0.3022 eV/atom. As for the calculated density: 8.25 g cm⁻³.

***

[3]
Compound: ZnRuSe2
Source: Alexandria via LeMat-Bulk
Functional: PBE-GGA
Structure: relaxed

Cell lengths 4.9257, 4.9257, 6.5951 Å; angles 69.24, 69.24, 36.51 degrees
Closest atoms and distances in Å follow each position.
Sites, in units of the cell vectors:
Ru: 0.7330 0.7330 0.6460  4 Se 2.45-2.47, 3 Zn 2.61
Se: 0.0570 0.0570 0.9117  2 Ru 2.45
Se: 0.2400 0.2400 0.3497  2 Ru 2.47
Zn: 0.4700 0.4700 0.5926  3 Ru 2.61, 2 Se 2.88

## Properties
As for the density of states at the Fermi level: 2.90 states/eV/f.u. Its symmetry is No. 8. For the energy relative to the elements, uncorrected, the calculation gives -0.03 eV/atom. As for the calculated density: 6.10 g cm⁻³.

***

[4]
Compound: PmCu6Pt6
Source: Alexandria via LeMat-Bulk
Functional: PBE-GGA
Structure: relaxed

Cell lengths 5.0162, 6.7240, 6.7240 Å; angles 83.11, 68.10, 68.10 degrees
Closest atoms and distances in Å follow each position.
Sites, in units of the cell vectors:
Pm: 0.0000 0.0000 0.0000  8 Pt 3.00-3.09, 12 Cu 3.24-3.36
Cu: 0.0000 0.5000 0.0000  4 Cu 2.51-2.52, 6 Pt 2.59-2.69
Cu: 0.5000 0.5000 0.0000  4 Cu 2.51-2.52, 6 Pt 2.59-2.69
Cu: 0.0000 0.0000 0.5000  4 Cu 2.51-2.52, 6 Pt 2.59-2.69
Cu: 0.5000 0.0000 0.5000  4 Cu 2.51-2.52, 6 Pt 2.59-2.69
Cu: 0.5000 0.7701 0.2299  4 Cu 2.52, 6 Pt 2.71-2.77
Cu: 0.5000 0.2299 0.7701  4 Cu 2.52, 6 Pt 2.71-2.77
Pt: 0.3441 0.6559 0.6559  6 Cu 2.69-2.77, 3 Pt 2.72-2.78, 1 Pm 3.00
Pt: 0.6559 0.3441 0.3441  6 Cu 2.69-2.77, 3 Pt 2.72-2.78, 1 Pm 3.00
Pt: 0.0000 0.3463 0.6537  6 Cu 2.66-2.71, 3 Pt 2.74-2.91
Pt: 0.0000 0.6537 0.3463  6 Cu 2.66-2.71, 3 Pt 2.74-2.91
Pt: 0.2937 0.2063 0.2063  6 Cu 2.59-2.73, 2 Pt 2.78
Pt: 0.7063 0.7937 0.7937  6 Cu 2.59-2.73, 2 Pt 2.78

## Properties
As for the density of states at the Fermi level: 4.18 states/eV/f.u. Its symmetry is No. 71. As for the formation enthalpy at 0 K: -0.3544 eV/atom. As for the calculated density: 14.43 g cm⁻³.

***

[5]
Compound: Tb8HC3Se4
Source: Alexandria via LeMat-Bulk
Functional: PBE-GGA
Structure: relaxed

Cell lengths 7.6063, 7.8832, 7.6067 Å; angles 118.85, 120.00, 90.00 degrees
Closest atoms and distances in Å follow each position.
Sites, in units of the cell vectors:
Tb: 0.2453 0.7112 0.9660  2 C 2.55, 1 H 2.69, 1 Se 2.82
Tb: 0.2453 0.7112 0.4906  2 C 2.55, 1 H 2.69, 1 Se 2.82
Tb: 0.2652 0.2956 0.5304  3 C 2.57
Tb: 0.7207 0.7112 0.9660  2 C 2.55, 1 H 2.69, 1 Se 2.82
Tb: 0.2793 0.2888 0.0340  2 C 2.55, 1 H 2.69, 1 Se 2.82
Tb: 0.7348 0.7044 0.4696  3 C 2.57
Tb: 0.7547 0.2888 0.5094  2 C 2.55, 1 H 2.69, 1 Se 2.82
Tb: 0.7547 0.2888 0.0340  2 C 2.55, 1 H 2.69, 1 Se 2.82
H: 0.0000 0.5000 0.0000  6 Tb 2.69
C: 0.5000 0.5000 0.0000  6 Tb 2.55-2.57
C: 0.5000 0.5000 0.5000  6 Tb 2.55-2.57
C: 0.0000 0.5000 0.5000  6 Tb 2.55-2.57
Se: 0.5000 0.0000 0.0000  6 Tb 2.82
Se: 0.5000 0.0000 0.5000  6 Tb 2.93-2.94
Se: 0.0000 0.0000 0.0000  6 Tb 2.93-2.94
Se: 0.0000 0.0000 0.5000  6 Tb 2.93-2.94

## Properties
As for the density of states at the Fermi level: 5.88 states/eV/f.u. As for the electronic total energy: -99.95 eV/cell. Its symmetry is No. 166. As for the calculated density: 8.22 g cm⁻³.

***

[6]
Compound: Al2SnGe2
Source: Alexandria via LeMat-Bulk
Functional: PBE-GGA
Structure: relaxed

Cell lengths 8.0228, 8.0228, 3.1009 Å; angles 90.00, 90.00, 90.00 degrees
Closest atoms and distances in Å follow each position.
Sites, in units of the cell vectors:
Ge: 0.1560 0.6560 0.5000  6 Al 2.80-2.83, 2 Ge 3.10
Ge: 0.6560 0.8440 0.5000  6 Al 2.80-2.83, 2 Ge 3.10
Ge: 0.8440 0.3440 0.5000  6 Al 2.80-2.83, 2 Ge 3.10
Ge: 0.3440 0.1560 0.5000  6 Al 2.80-2.83, 2 Ge 3.10
Sn: 0.0000 0.0000 0.0000  2 Sn 3.10, 4 Al 3.11, 8 Ge 3.40
Sn: 0.5000 0.5000 0.0000  2 Sn 3.10, 4 Al 3.11, 8 Ge 3.40
Al: 0.3620 0.8620 0.0000  6 Ge 2.80-2.83, 3 Al 3.10-3.13, 2 Sn 3.11
Al: 0.8620 0.6380 0.0000  6 Ge 2.80-2.83, 3 Al 3.10-3.13, 2 Sn 3.11
Al: 0.6380 0.1380 0.0000  6 Ge 2.80-2.83, 3 Al 3.10-3.13, 2 Sn 3.11
Al: 0.1380 0.3620 0.0000  6 Ge 2.80-2.83, 3 Al 3.10-3.13, 2 Sn 3.11

## Properties
The distance to the lowest polymorph of the same formula comes out at 0.006 eV/f.u. As for the density of states at the Fermi level: 2.11 states/eV/f.u. Its symmetry is No. 127. As for the formation enthalpy at 0 K: 0.1424 eV/atom. As for the calculated density: 5.29 g cm⁻³.

***

[7]
Compound: LiCe3Pu2Te6
Source: Alexandria via LeMat-Bulk
Functional: PBE-GGA
Structure: relaxed

Cell lengths 4.4351, 8.9285, 9.9509 Å; angles 102.96, 102.88, 90.00 degrees
Closest atoms and distances in Å follow each position.
Sites, in units of the cell vectors:
Li: 0.5000 0.0000 0.0000  6 Te 3.04-3.08
Ce: 0.5000 0.5000 0.0000  6 Te 3.18-3.21
Ce: 0.8310 0.1636 0.6620  6 Te 3.16-3.21
Ce: 0.1690 0.8364 0.3380  6 Te 3.16-3.21
Pu: 0.8343 0.6655 0.6686  6 Te 3.12-3.14
Pu: 0.1657 0.3345 0.3314  6 Te 3.12-3.14
Te: 0.3392 0.9156 0.6783  1 Li 3.04, 2 Pu 3.13, 3 Ce 3.16-3.21
Te: 0.6682 0.5811 0.3364  3 Pu 3.12-3.14, 3 Ce 3.18
Te: 0.6608 0.0844 0.3217  1 Li 3.04, 2 Pu 3.13, 3 Ce 3.16-3.21
Te: 0.9995 0.2399 0.9990  2 Li 3.08, 1 Pu 3.14, 3 Ce 3.18-3.21
Te: 0.0005 0.7601 0.0010  2 Li 3.08, 1 Pu 3.14, 3 Ce 3.18-3.21
Te: 0.3318 0.4189 0.6636  3 Pu 3.12-3.14, 3 Ce 3.18

## Properties
As for the density of states at the Fermi level: 43.30 states/eV/f.u. Its symmetry is No. 12. For the energy relative to the elements, uncorrected, the calculation gives -1.22 eV/atom. As for the calculated density: 7.47 g cm⁻³.

***

[8]
Compound: SmDy7Tm2
Source: Alexandria via LeMat-Bulk
Functional: PBE-GGA
Structure: relaxed

Cell lengths 5.5962, 9.1124, 9.1124 Å; angles 122.76, 90.00, 90.00 degrees
Closest atoms and distances in Å follow each position.
Sites, in units of the cell vectors:
Sm: 0.0000 0.0000 0.0000  10 Dy 3.47-3.69
Dy: 0.0000 0.7829 0.2171  2 Tm 3.07
Dy: 0.0000 0.2171 0.7829  2 Tm 3.07
Dy: 0.5000 0.0620 0.2923  2 Dy 3.09-3.37, 2 Tm 3.15-3.28
Dy: 0.5000 0.9380 0.7077  2 Dy 3.09-3.37, 2 Tm 3.15-3.28
Dy: 0.5000 0.2923 0.0620  2 Dy 3.09-3.37, 2 Tm 3.15-3.28
Dy: 0.5000 0.7077 0.9380  2 Dy 3.09-3.37, 2 Tm 3.15-3.28
Dy: 0.5000 0.5000 0.5000  2 Tm 3.26, 4 Dy 3.37
Tm: 0.5000 0.7037 0.2963  7 Dy 3.07-3.28
Tm: 0.5000 0.2963 0.7037  7 Dy 3.07-3.28

## Properties
The distance to the lowest polymorph of the same formula comes out at 6.779 eV/f.u. As for the density of states at the Fermi level: 14.51 states/eV/f.u. Its symmetry is No. 65. As for the formation enthalpy at 0 K: 0.6981 eV/atom. As for the calculated density: 6.91 g cm⁻³.

***

[9]
Compound: Li5TbCd7
Source: Alexandria via LeMat-Bulk
Functional: PBE-GGA
Structure: relaxed

Cell lengths 5.2438, 7.5006, 7.5006 Å; angles 82.97, 69.54, 69.54 degrees
Closest atoms and distances in Å follow each position.
Sites, in units of the cell vectors:
Li: 0.4986 0.0001 0.4996  3 Li 2.61-2.83, 3 Cd 2.80-2.90
Li: 0.0017 0.0001 0.4996  3 Li 2.61-2.83, 3 Cd 2.80-2.90
Li: 0.4986 0.4996 0.0001  3 Li 2.61-2.83, 3 Cd 2.80-2.90
Li: 0.0017 0.4996 0.0001  3 Li 2.61-2.83, 3 Cd 2.80-2.90
Li: 0.7215 0.7785 0.7785  4 Li 2.83, 6 Cd 2.88-3.11
Tb: 0.9974 0.0026 0.0026  10 Cd 3.31-3.47, 2 Li 3.44
Cd: 0.6485 0.3515 0.3515  5 Cd 2.96-3.27, 4 Li 2.99
Cd: 0.3402 0.6598 0.6598  6 Li 2.88-2.95, 1 Cd 3.07
Cd: 0.9956 0.3537 0.6551  5 Li 2.94-3.11, 4 Cd 2.99-3.26
Cd: 0.9956 0.6551 0.3537  5 Li 2.94-3.11, 4 Cd 2.99-3.26
Cd: 0.2874 0.2126 0.2126  4 Li 2.83, 4 Cd 2.96-2.97
Cd: 0.5066 0.7908 0.1960  5 Li 2.80-2.94, 3 Cd 2.97-3.00
Cd: 0.5066 0.1960 0.7908  5 Li 2.80-2.94, 3 Cd 2.97-3.00

## Properties
As for the density of states at the Fermi level: 6.20 states/eV/f.u. Its symmetry is No. 44. As for the formation enthalpy at 0 K: -0.2168 eV/atom. As for the calculated density: 6.29 g cm⁻³.

***

[10]
Compound: TlAsAu2
Source: Alexandria via LeMat-Bulk
Functional: PBE-GGA
Structure: relaxed

Cell lengths 5.4406, 5.4406, 8.6367 Å; angles 71.64, 71.64, 90.00 degrees
Closest atoms and distances in Å follow each position.
Sites, in units of the cell vectors:
Tl: 0.0000 0.0000 0.0000  4 Au 3.09
Tl: 0.7500 0.2500 0.5000  4 Au 3.09
Au: 0.5098 0.1250 0.2500  2 As 2.47
Au: 0.2402 0.6250 0.2500  2 As 2.47
Au: 0.3750 0.4902 0.7500  2 As 2.47
Au: 0.8750 0.7598 0.7500  2 As 2.47
As: 0.5000 0.5000 0.0000  4 Au 2.47
As: 0.2500 0.7500 0.5000  4 Au 2.47

## Properties
As for the density of states at the Fermi level: 0.00 states/eV/f.u. Its symmetry is No. 122. As for the formation enthalpy at 0 K: -0.0009 eV/atom. As for the calculated density: 9.77 g cm⁻³.

***

[11]
Compound: Pu3Ge6Pd2Pt
Source: Alexandria via LeMat-Bulk
Functional: PBE-GGA
Structure: relaxed

Cell lengths 5.7563, 5.7563, 8.4272 Å; angles 90.00, 90.00, 120.00 degrees
Closest atoms and distances in Å follow each position.
Sites, in units of the cell vectors:
Pu: 0.3333 0.6667 0.6063  9 Ge 3.04-3.16
Pu: 0.6667 0.3333 0.3937  9 Ge 3.04-3.16
Pu: 0.0000 0.0000 0.0000  6 Ge 2.95
Ge: 0.6403 0.8201 0.2779  1 Pt 2.59, 1 Pd 2.65, 2 Ge 2.65
Ge: 0.1799 0.3597 0.2779  1 Pt 2.59, 1 Pd 2.65, 2 Ge 2.65
Ge: 0.1799 0.8201 0.2779  1 Pt 2.59, 1 Pd 2.65, 2 Ge 2.65
Ge: 0.8201 0.6403 0.7221  1 Pt 2.59, 1 Pd 2.65, 2 Ge 2.65
Ge: 0.3597 0.1799 0.7221  1 Pt 2.59, 1 Pd 2.65, 2 Ge 2.65
Ge: 0.8201 0.1799 0.7221  1 Pt 2.59, 1 Pd 2.65, 2 Ge 2.65
Pd: 0.6667 0.3333 0.9788  3 Ge 2.65
Pd: 0.3333 0.6667 0.0212  3 Ge 2.65
Pt: 0.0000 0.0000 0.5000  6 Ge 2.59

## Properties
As for the density of states at the Fermi level: 28.62 states/eV/f.u. Its symmetry is No. 164. As for the formation enthalpy at 0 K: -0.3046 eV/atom. As for the calculated density: 10.82 g cm⁻³.

***

[12]
Compound: La4Sm2Mg
Source: Alexandria via LeMat-Bulk
Functional: PBE-GGA
Structure: relaxed

Cell lengths 6.9338, 9.1580, 9.1580 Å; angles 79.06, 67.76, 67.76 degrees
Closest atoms and distances in Å follow each position.
Sites, in units of the cell vectors:
La: 0.1544 0.3583 0.3328  1 Sm 3.45, 2 Mg 3.47, 5 La 3.75-3.87
La: 0.1544 0.8328 0.8583  1 Sm 3.45, 2 Mg 3.47, 5 La 3.75-3.87
La: 0.2311 0.2408 0.7408  1 La 3.08, 1 Sm 3.19, 1 Mg 3.20
La: 0.7872 0.2408 0.7408  1 La 3.08, 1 Sm 3.19, 1 Mg 3.20
La: 0.2128 0.7592 0.2592  1 La 3.08, 1 Sm 3.19, 1 Mg 3.20
La: 0.8456 0.1672 0.1417  1 Sm 3.45, 2 Mg 3.47, 5 La 3.75-3.87
La: 0.7689 0.7592 0.2592  1 La 3.08, 1 Sm 3.19, 1 Mg 3.20
La: 0.8456 0.6417 0.6672  1 Sm 3.45, 2 Mg 3.47, 5 La 3.75-3.87
Sm: 0.2843 0.9657 0.4657  4 La 3.19-3.45, 2 Sm 3.57
Sm: 0.5000 0.0000 0.0000  4 La 3.50
Sm: 0.5000 0.5000 0.5000  4 La 3.50
Sm: 0.7157 0.0343 0.5343  4 La 3.19-3.45, 2 Sm 3.57
Mg: 0.0000 0.5000 0.0000  6 La 3.20-3.47, 2 Mg 3.47
Mg: 0.5000 0.5000 0.0000  6 La 3.20-3.47, 2 Mg 3.47

## Properties
The distance to the lowest polymorph of the same formula comes out at 0.194 eV/f.u. As for the density of states at the Fermi level: 7.89 states/eV/f.u. Its symmetry is No. 74. As for the formation enthalpy at 0 K: 0.1548 eV/atom. As for the calculated density: 5.88 g cm⁻³.